## w
# Tm8Ir2Au

A relaxed Tm8Ir2Au crystal (GGA-PBE, Alexandria).

Cell: 8.990 8.990 6.890 Å, 106.97 106.97 31.18°
Positions (direct):
Tm: 0.033 0.033 0.277
Tm: 0.204 0.204 0.816
Tm: 0.329 0.329 0.537
Tm: 0.403 0.403 0.032
Tm: 0.597 0.597 0.968
Tm: 0.671 0.671 0.463
Tm: 0.796 0.796 0.184
Tm: 0.967 0.967 0.723
Ir: 0.187 0.187 0.205
Ir: 0.813 0.813 0.795
Au: 0.500 0.500 0.500

- total moment (Bohr magnetons per cell) = 0.00

## x
# Tm8Ir2Au

A relaxed Tm8Ir2Au crystal (GGA-PBE, Alexandria).

Cell: 7.632 7.632 5.545 Å, 98.76 98.76 112.50°
Positions (direct):
Tm: 0.000 0.000 0.000
Tm: 0.044 0.305 0.598
Tm: 0.141 0.610 0.192
Tm: 0.305 0.044 0.598
Tm: 0.447 0.709 0.780
Tm: 0.610 0.141 0.192
Tm: 0.709 0.447 0.780
Tm: 0.744 0.744 0.381
Ir: 0.065 0.687 0.690
Ir: 0.687 0.065 0.690
Au: 0.372 0.372 0.287

- total moment (Bohr magnetons per cell) = 0.00

It comes down to w, which is 58 meV per atom more stable than the next structure.

## w
# Tm8IrAu2

A relaxed Tm8IrAu2 crystal (GGA-PBE, Alexandria).

Cell: 9.461 9.461 5.487 Å, 99.81 99.81 137.62°
Positions (direct):
Tm: 0.000 0.000 0.000
Tm: 0.057 0.453 0.098
Tm: 0.071 0.839 0.459
Tm: 0.437 0.668 0.736
Tm: 0.453 0.057 0.098
Tm: 0.509 0.509 0.196
Tm: 0.668 0.437 0.736
Tm: 0.839 0.071 0.459
Ir: 0.253 0.253 0.599
Au: 0.000 0.508 0.598
Au: 0.508 0.000 0.598

- total moment (Bohr magnetons per cell) = 0.00

## x
# Tm8IrAu2

A relaxed Tm8IrAu2 crystal (GGA-PBE, Alexandria).

Cell: 8.996 8.996 6.709 Å, 106.13 106.13 32.58°
Positions (direct):
Tm: 0.029 0.029 0.291
Tm: 0.203 0.203 0.813
Tm: 0.339 0.339 0.532
Tm: 0.410 0.410 0.065
Tm: 0.590 0.590 0.935
Tm: 0.661 0.661 0.468
Tm: 0.797 0.797 0.187
Tm: 0.971 0.971 0.709
Ir: 0.500 0.500 0.500
Au: 0.185 0.185 0.220
Au: 0.815 0.815 0.780

- total moment (Bohr magnetons per cell) = 0.00

It comes down to x, which is 74 meV per atom more stable than the next structure.

## w
# Tm7Ir2Au2

A relaxed Tm7Ir2Au2 crystal (GGA-PBE, Alexandria).

Cell: 9.166 9.166 9.166 Å, 155.92 66.02 119.57°
Positions (direct):
Tm: 0.000 0.000 0.000
Tm: 0.300 0.419 0.881
Tm: 0.305 0.620 0.686
Tm: 0.538 0.419 0.119
Tm: 0.614 0.257 0.357
Tm: 0.901 0.257 0.643
Tm: 0.934 0.620 0.314
Ir: 0.164 0.918 0.246
Ir: 0.672 0.918 0.754
Au: 0.246 0.746 0.500
Au: 0.677 0.677 0.000

- total moment (Bohr magnetons per cell) = 0.00

## x
# Tm7Ir2Au2

A relaxed Tm7Ir2Au2 crystal (GGA-PBE, Alexandria).

Cell: 6.610 6.610 6.928 Å, 90.00 90.00 104.45°
Positions (direct):
Tm: 0.000 0.000 0.000
Tm: 0.000 0.500 0.255
Tm: 0.000 0.500 0.745
Tm: 0.500 0.000 0.255
Tm: 0.500 0.000 0.745
Tm: 0.500 0.500 0.249
Tm: 0.500 0.500 0.751
Ir: 0.283 0.717 0.000
Ir: 0.717 0.283 0.000
Au: 0.207 0.207 0.500
Au: 0.793 0.793 0.500

- total moment (Bohr magnetons per cell) = 0.00

It comes down to w, which is 134 meV per atom more stable than the next structure.